The following is a SCAN calculation of a crystal of Sc2FeBr relaxed with PBEsol, from Alexandria.

Results
* crystal system: tetragonal
* polymorph energy (0 for the lowest one): 0.000 eV/atom

Lattice parameters (Å, degrees): 3.6550 3.6550 5.7826 90.00 90.00 90.00
With the nearest neighbours (Å) after each atom.
Sites, in units of the cell vectors:
1 Br 0.0000 0.0000 0.4283  6 Sc 2.74-3.01
2 Sc 0.5000 0.5000 0.2714  1 Fe 2.19
3 Fe 0.5000 0.5000 0.8921  1 Sc 2.19
4 Sc 0.0000 0.0000 0.9082  4 Fe 2.59, 1 Br 2.78

---

The following is a SCAN calculation of a crystal of ScFe2Br relaxed with PBEsol, from Alexandria.

Results
* crystal system: tetragonal
* polymorph energy (0 for the lowest one): 0.000 eV/atom

Lattice parameters (Å, degrees): 3.6254 3.6254 4.6711 90.00 90.00 90.00
With the nearest neighbours (Å) after each atom.
Sites, in units of the cell vectors:
1 Fe 0.5000 0.0000 0.0000  4 Fe 2.56
2 Br 0.0000 0.0000 0.5000  4 Sc 2.56
3 Sc 0.5000 0.5000 0.5000  4 Br 2.56
4 Fe 0.0000 0.5000 0.0000  4 Fe 2.56

---

The following is a SCAN calculation of a crystal of Sc2FeBr relaxed with PBEsol, from Alexandria.

Results
* crystal system: cubic
* polymorph energy (0 for the lowest one): 0.687 eV/atom

Lattice parameters (Å, degrees): 4.6494 4.6494 4.6494 60.00 60.00 60.00
With the nearest neighbours (Å) after each atom.
Sites, in units of the cell vectors:
1 Br 0.5000 0.5000 0.5000  4 Fe 2.85, 4 Sc 2.85
2 Sc 0.0000 0.0000 0.0000  4 Fe 2.85, 4 Sc 2.85
3 Fe 0.2500 0.2500 0.2500  4 Sc 2.85, 4 Br 2.85
4 Sc 0.7500 0.7500 0.7500  4 Br 2.85, 4 Sc 2.85

---

The following is a SCAN calculation of a crystal of ScFe2Br relaxed with PBEsol, from Alexandria.

Results
* crystal system: cubic
* polymorph energy (0 for the lowest one): 0.196 eV/atom

Lattice parameters (Å, degrees): 4.4448 4.4448 4.4448 60.00 60.00 60.00
With the nearest neighbours (Å) after each atom.
Sites, in units of the cell vectors:
1 Sc 0.2500 0.2500 0.2500  4 Fe 2.72, 4 Br 2.72
2 Fe 0.7500 0.7500 0.7500  4 Br 2.72, 4 Fe 2.72
3 Fe 0.0000 0.0000 0.0000  4 Sc 2.72, 4 Fe 2.72
4 Br 0.5000 0.5000 0.5000  4 Fe 2.72, 4 Sc 2.72

---

The following is a SCAN calculation of a crystal of ScFeSe2Br relaxed with PBEsol, from Alexandria.

Results
* crystal system: tetragonal

Lattice parameters (Å, degrees): 4.6869 4.7182 4.7182 90.00 90.00 90.00
With the nearest neighbours (Å) after each atom.
Sites, in units of the cell vectors:
1 Fe 0.0000 0.0000 0.0000  2 Br 2.34, 4 Se 2.36
2 Br 0.5000 0.0000 0.0000  2 Fe 2.34
3 Sc 0.5000 0.5000 0.5000  8 Se 3.33, 4 Br 3.34
4 Se 0.0000 0.5000 0.0000  2 Fe 2.36
5 Se 0.0000 0.0000 0.5000  2 Fe 2.36

---

The following is a SCAN calculation of a crystal of FeSeBr3 relaxed with PBEsol, from Alexandria.

Results
* crystal system: cubic

Lattice parameters (Å, degrees): 4.9052 4.9052 4.9052 90.00 90.00 90.00
With the nearest neighbours (Å) after each atom.
Sites, in units of the cell vectors:
1 Fe 0.0000 0.0000 0.0000  6 Br 2.45
2 Se 0.5000 0.5000 0.5000  12 Br 3.47
3 Br 0.0000 0.5000 0.0000  2 Fe 2.45
4 Br 0.0000 0.0000 0.5000  2 Fe 2.45
5 Br 0.5000 0.0000 0.0000  2 Fe 2.45

---

The following is a SCAN calculation of a crystal of FeTcSe2Br relaxed with PBEsol, from Alexandria.

Results
* crystal system: tetragonal

Lattice parameters (Å, degrees): 4.7179 4.7179 5.1880 90.00 90.00 90.00
With the nearest neighbours (Å) after each atom.
Sites, in units of the cell vectors:
1 Tc 0.0000 0.0000 0.0000  4 Se 2.36, 2 Br 2.59
2 Se 0.5000 0.0000 0.0000  2 Tc 2.36
3 Br 0.0000 0.0000 0.5000  2 Tc 2.59
4 Fe 0.5000 0.5000 0.5000  4 Br 3.34, 8 Se 3.51
5 Se 0.0000 0.5000 0.0000  2 Tc 2.36

---

The following is a SCAN calculation of a crystal of YFeSe2Br relaxed with PBEsol, from Alexandria.

Results
* crystal system: tetragonal

Lattice parameters (Å, degrees): 4.6647 4.7746 4.7746 90.00 90.00 90.00
With the nearest neighbours (Å) after each atom.
Sites, in units of the cell vectors:
1 Br 0.5000 0.0000 0.0000  2 Fe 2.33
2 Se 0.0000 0.5000 0.0000  2 Fe 2.39
3 Y 0.5000 0.5000 0.5000  8 Se 3.34, 4 Br 3.38
4 Fe 0.0000 0.0000 0.0000  2 Br 2.33, 4 Se 2.39
5 Se 0.0000 0.0000 0.5000  2 Fe 2.39

---

The following is a SCAN calculation of a crystal of FeSiBr relaxed with PBEsol, from Alexandria.

Results
* crystal system: cubic

Lattice parameters (Å, degrees): 4.0298 4.0298 4.0298 60.00 60.00 60.00
With the nearest neighbours (Å) after each atom.
Sites, in units of the cell vectors:
1 Fe 0.2500 0.2500 0.2500  4 Br 2.47, 4 Si 2.47
2 Br 0.5000 0.5000 0.5000  4 Fe 2.47
3 Si 0.0000 0.0000 0.0000  4 Fe 2.47

---

The following is a SCAN calculation of a crystal of Fe3SiBr relaxed with PBEsol, from Alexandria.

Results
* crystal system: cubic
* polymorph energy (0 for the lowest one): 0.519 eV/atom

Lattice parameters (Å, degrees): 4.2776 4.2776 4.2776 90.00 90.00 90.00
With the nearest neighbours (Å) after each atom.
Sites, in units of the cell vectors:
1 Fe 0.0000 0.0000 0.5000  2 Br 2.14
2 Br 0.0000 0.0000 0.0000  6 Fe 2.14
3 Fe 0.0000 0.5000 0.0000  2 Br 2.14
4 Fe 0.5000 0.0000 0.0000  2 Br 2.14
5 Si 0.5000 0.5000 0.5000  12 Fe 3.02

---

The following is a SCAN calculation of a crystal of Fe3SiBr relaxed with PBEsol, from Alexandria.

Results
* crystal system: cubic
* polymorph energy (0 for the lowest one): 0.000 eV/atom

Lattice parameters (Å, degrees): 4.3012 4.3012 4.3012 90.00 90.00 90.00
With the nearest neighbours (Å) after each atom.
Sites, in units of the cell vectors:
1 Fe 0.5000 0.0000 0.0000  2 Si 2.15
2 Fe 0.0000 0.5000 0.0000  2 Si 2.15
3 Fe 0.0000 0.0000 0.5000  2 Si 2.15
4 Si 0.0000 0.0000 0.0000  6 Fe 2.15
5 Br 0.5000 0.5000 0.5000  12 Fe 3.04

---

The following is a SCAN calculation of a crystal of FeSiBr2 relaxed with PBEsol, from Alexandria.

Results
* crystal system: orthorhombic
* polymorph energy (0 for the lowest one): 0.193 eV/atom

Lattice parameters (Å, degrees): 3.2202 3.4503 8.8817 90.00 90.00 117.82
With the nearest neighbours (Å) after each atom.
Sites, in units of the cell vectors:
1 Br 0.0000 0.0000 0.9389  2 Si 2.54
2 Si 0.5000 0.0000 0.7172  2 Fe 2.37, 2 Br 2.54
3 Fe 0.0000 0.0000 0.5217  2 Si 2.37, 2 Br 2.39
4 Br 0.5000 0.0000 0.3223  2 Fe 2.39

---

no.,DOS(E_F) (states/eV per cell),calculated total energy (eV per cell),formation energy without anion corrections (meV/atom)
1,2.87,-66.79,-181
2,2.81,-69.21,188
3,3.07,-64.04,506
4,3.07,-68.42,383
5,3.26,-93.51,-306
6,3.78,-95.98,122
7,5.50,-109.50,661
8,2.30,-108.91,-664
9,1.45,-45.29,771
10,3.53,-76.71,1430
11,3.56,-79.31,911
12,1.38,-66.40,165